Here is RbZrAg after structural relaxation from the Open Quantum Materials Database. Energies are from PBE.

Summary:
The calculation puts the magnetic moment at 0.2432 μB/atom. The excess energy over the best structure of this formula in the dataset is 12.71 kcal/mol of atoms. The space group is F-43m (216).

abc: 4.9978 4.9978 4.9978
angles: 60.00 60.00 60.00
Element x y z (fractional)
Rb: 0.0000 0.0000 0.0000
Zr: 0.2500 0.2500 0.2500
Ag: 0.7500 0.7500 0.7500



Here is Re11Ag3 after structural relaxation from the Open Quantum Materials Database. Energies are from PBE.

Summary:
The calculation puts the magnetic moment at 0.0011 μB/atom. Its formation energy is 0.89 eV per atom. The space group is Cm (8).

abc: 6.9130 6.9130 7.1182
angles: 102.87 102.87 49.64
Element x y z (fractional)
Re: 0.0000 0.0000 0.0000
Re: 0.0418 0.4742 0.3169
Re: 0.1296 0.7167 0.6545
Re: 0.1589 0.7394 0.2808
Re: 0.2610 0.2610 0.6253
Re: 0.3972 0.8149 0.5966
Re: 0.4742 0.0418 0.3169
Re: 0.6087 0.6087 0.2596
Re: 0.7167 0.1296 0.6545
Re: 0.7394 0.1589 0.2808
Re: 0.8149 0.3972 0.5966
Ag: 0.2032 0.2032 0.9599
Ag: 0.4316 0.4316 0.9592
Ag: 0.7634 0.7634 0.9456